This record from the Alexandria database describes a relaxed Cd6In5Hg crystal. The functional is PBE-GGA.

As for the formation energy: 30 kJ/mol of formula units. The value obtained for the total magnetic moment is 0.00 μB/cell. The value obtained for the electronic total energy is -38.34 eV per cell.

The space group is C2/m (No. 12) and the conventional cell measures 10.6485, 13.2968 and 4.7396 Å, with angles of 90.00, 116.10 and 90.00 degrees. The inequivalent atoms are Cd at (0.2487, 0.0000, 0.2469), Cd at (0.2493, 0.3337, 0.2498), In at (0.0000, 0.0000, 0.5000), In at (0.0000, 0.1679, 0.0000), In at (0.0000, 0.3374, 0.5000) and Hg at (0.0000, 0.5000, 0.0000).

***

This record from the Alexandria database describes a relaxed Cd4In3Hg3 crystal. The functional is PBE-GGA.

As for the formation energy: 38 kJ/mol of formula units. The value obtained for the total magnetic moment is 0.00 μB/cell. The value obtained for the electronic total energy is -24.77 eV per cell.

The space group is Amm2 (No. 38) and the conventional cell measures 3.3623, 11.8629 and 12.8632 Å, with angles of 90.00, 90.00 and 90.00 degrees. The inequivalent atoms are Cd at (0.0000, 0.0000, 0.0000), Cd at (0.0000, 0.0000, 0.2622), Cd at (0.0000, 0.1296, 0.6206), In at (0.0000, 0.2492, 0.8774), In at (0.5000, 0.0000, 0.7979), Hg at (0.5000, 0.0000, 0.4552) and Hg at (0.5000, 0.1659, 0.1322).

***

This record from the Alexandria database describes a relaxed CdIn2Hg crystal. The functional is PBE-GGA.

As for the formation energy: 10 kJ/mol of formula units. The value obtained for the energy relative to the lowest polymorph listed for this composition is 0.020 eV/atom. The value obtained for the total magnetic moment is 0.00 μB/cell. The value obtained for the electronic total energy is -6.59 eV per cell.

The space group is P4mm (No. 99) and the conventional cell measures 3.5626, 3.5626 and 8.1226 Å, with angles of 90.00, 90.00 and 90.00 degrees. The inequivalent atoms are Cd at (0.0000, 0.0000, 0.0000), In at (0.0000, 0.0000, 0.4833), In at (0.5000, 0.5000, 0.7498) and Hg at (0.5000, 0.5000, 0.2346).

***

This record from the Alexandria database describes a relaxed Cd7InHg4 crystal. The functional is PBE-GGA.

As for the formation energy: 65 kJ/mol of formula units. The value obtained for the energy relative to the lowest polymorph listed for this composition is 0.038 eV/atom. The value obtained for the total magnetic moment is 0.00 μB/cell. The value obtained for the electronic total energy is -19.36 eV per cell.

The space group is C2/m (No. 12) and the conventional cell measures 12.4048, 5.7091 and 10.6043 Å, with angles of 90.00, 123.67 and 90.00 degrees. The inequivalent atoms are Cd at (0.0000, 0.0000, 0.0000), Cd at (0.0922, 0.5000, 0.4426), Cd at (0.1950, 0.0000, 0.9067), Cd at (0.2312, 0.0000, 0.6613), In at (0.0000, 0.5000, 0.0000), Hg at (0.0894, 0.0000, 0.3289) and Hg at (0.1915, 0.5000, 0.7705).

***

This record from the Alexandria database describes a relaxed Cd2In9Hg14 crystal. The functional is PBE-GGA.

As for the formation energy: 86 kJ/mol of formula units. The value obtained for the total magnetic moment is 0.00 μB/cell. The value obtained for the electronic total energy is -29.81 eV per cell.

The space group is P-3 (No. 147) and the conventional cell measures 5.9117, 5.9117 and 22.4734 Å, with angles of 90.00, 90.00 and 120.00 degrees. The inequivalent atoms are Cd at (0.3333, 0.6667, 0.2180), In at (0.0000, 0.0000, 0.0000), In at (0.0122, 0.6609, 0.6726), In at (0.3333, 0.6667, 0.0023), Hg at (0.0000, 0.0000, 0.2216), Hg at (0.0091, 0.6732, 0.4429) and Hg at (0.0199, 0.6673, 0.8832).

***

This record from the Alexandria database describes a relaxed Cd4In10Hg crystal. The functional is PBE-GGA.

As for the formation energy: 73 kJ/mol of formula units. The value obtained for the total magnetic moment is 0.00 μB/cell. The value obtained for the electronic total energy is -61.18 eV per cell.

The space group is I4/m (No. 87) and the conventional cell measures 11.0091, 11.0091 and 7.0357 Å, with angles of 90.00, 90.00 and 90.00 degrees. The inequivalent atoms are Cd at (0.1003, 0.7003, 0.0000), In at (0.0000, 0.5000, 0.2500), In at (0.0998, 0.2004, 0.2497) and Hg at (0.0000, 0.0000, 0.5000).